(1)
# Mg3SiAu, optimized geometry, DFT PBE-GGA
# E above lowest polymorph (eV per atom): 0.095
data_Mg3SiAu
_cell_length_a 5.024
_cell_length_b 5.024
_cell_length_c 5.024
_cell_angle_alpha 90.00
_cell_angle_beta 90.00
_cell_angle_gamma 90.00
_space_group_name_H-M_alt 'P m -3 m'
_space_group_IT_number 221
_space_group_name_Hall '-P 4 2 3'
loop_
_atom_site_label
_atom_site_type_symbol
_atom_site_fract_x
_atom_site_fract_y
_atom_site_fract_z
_atom_site_occupancy
Mg1 Mg 0.000 0.000 0.500 1
Si1 Si 0.500 0.500 0.500 1
Au1 Au 0.000 0.000 0.000 1

=====

(2)
# MgSiAu3, optimized geometry, DFT PBE-GGA
# E above lowest polymorph (eV per atom): 0.946
data_MgSiAu3
_cell_length_a 4.883
_cell_length_b 4.883
_cell_length_c 4.883
_cell_angle_alpha 90.00
_cell_angle_beta 90.00
_cell_angle_gamma 90.00
_space_group_name_H-M_alt 'P m -3 m'
_space_group_IT_number 221
_space_group_name_Hall '-P 4 2 3'
loop_
_atom_site_label
_atom_site_type_symbol
_atom_site_fract_x
_atom_site_fract_y
_atom_site_fract_z
_atom_site_occupancy
Mg1 Mg 0.000 0.000 0.000 1
Si1 Si 0.500 0.500 0.500 1
Au1 Au 0.000 0.000 0.500 1

=====

(3)
# MgSi2Au2, optimized geometry, DFT PBE-GGA
# E above lowest polymorph (eV per atom): 0.000
data_MgSi2Au2
_cell_length_a 3.718
_cell_length_b 3.718
_cell_length_c 12.947
_cell_angle_alpha 90.00
_cell_angle_beta 90.00
_cell_angle_gamma 90.00
_space_group_name_H-M_alt 'I 4/m m m'
_space_group_IT_number 139
_space_group_name_Hall '-I 4 2'
loop_
_atom_site_label
_atom_site_type_symbol
_atom_site_fract_x
_atom_site_fract_y
_atom_site_fract_z
_atom_site_occupancy
Mg1 Mg 0.000 0.000 0.000 1
Si1 Si 0.000 0.500 0.250 1
Au1 Au 0.000 0.000 0.395 1

=====

(4)
# MgSiAu3, optimized geometry, DFT PBE-GGA
# E above lowest polymorph (eV per atom): 0.000
data_MgSiAu3
_cell_length_a 7.498
_cell_length_b 5.936
_cell_length_c 9.482
_cell_angle_alpha 90.00
_cell_angle_beta 119.64
_cell_angle_gamma 90.00
_space_group_name_H-M_alt 'P 1 21/c 1'
_space_group_IT_number 14
loop_
_space_group_symop_operation_xyz
'x,y,z'
'-x,-y,-z'
'-x,y+1/2,-z+1/2'
'x,-y+1/2,z+1/2'
loop_
_atom_site_label
_atom_site_type_symbol
_atom_site_fract_x
_atom_site_fract_y
_atom_site_fract_z
_atom_site_occupancy
Mg1 Mg 0.183 0.202 0.185 1
Si1 Si 0.342 0.579 0.019 1
Au1 Au 0.012 0.120 0.372 1
Au2 Au 0.264 0.509 0.460 1
Au3 Au 0.407 0.708 0.779 1

=====

(5)
# MgSiAu3, optimized geometry, DFT PBE-GGA
# E above lowest polymorph (eV per atom): 0.272
data_MgSiAu3
_cell_length_a 4.776
_cell_length_b 4.776
_cell_length_c 4.776
_cell_angle_alpha 90.00
_cell_angle_beta 90.00
_cell_angle_gamma 90.00
_space_group_name_H-M_alt 'P m -3 m'
_space_group_IT_number 221
_space_group_name_Hall '-P 4 2 3'
loop_
_atom_site_label
_atom_site_type_symbol
_atom_site_fract_x
_atom_site_fract_y
_atom_site_fract_z
_atom_site_occupancy
Mg1 Mg 0.000 0.000 0.000 1
Si1 Si 0.500 0.500 0.500 1
Au1 Au 0.000 0.500 0.500 1

=====

(6)
Computed, not measured: a geometry-optimized MgSi2Au6 structure at the PBE-GGA level of DFT.

```
data_MgSi2Au6
_cell_length_a 4.792
_cell_length_b 8.949
_cell_length_c 14.499
_cell_angle_alpha 90.00
_cell_angle_beta 90.00
_cell_angle_gamma 90.00
_space_group_name_H-M_alt 'F m m m'
_space_group_IT_number 69
_space_group_name_Hall '-F 2 2'
loop_
_atom_site_label
_atom_site_type_symbol
_atom_site_fract_x
_atom_site_fract_y
_atom_site_fract_z
_atom_site_occupancy
Mg1 Mg 0.000 0.000 0.000 1
Si1 Si 0.000 0.000 0.342 1
Au1 Au 0.000 0.156 0.169 1
Au2 Au 0.000 0.161 0.500 1
```

=====

(7)
# Mg2SiAu2, optimized geometry, DFT PBE-GGA
# E above lowest polymorph (eV per atom): 0.174
data_Mg2SiAu2
_cell_length_a 7.742
_cell_length_b 7.742
_cell_length_c 3.161
_cell_angle_alpha 90.00
_cell_angle_beta 90.00
_cell_angle_gamma 90.00
_space_group_name_H-M_alt 'P 4/m b m'
_space_group_IT_number 127
_space_group_name_Hall '-P 4 2ab'
loop_
_atom_site_label
_atom_site_type_symbol
_atom_site_fract_x
_atom_site_fract_y
_atom_site_fract_z
_atom_site_occupancy
Mg1 Mg 0.153 0.347 0.000 1
Si1 Si 0.000 0.000 0.000 1
Au1 Au 0.142 0.642 0.500 1

=====

(8)
Computed, not measured: a geometry-optimized Mg2Si2Au structure at the PBE-GGA level of DFT.

```
data_Mg2Si2Au
_cell_length_a 6.585
_cell_length_b 6.585
_cell_length_c 4.153
_cell_angle_alpha 90.00
_cell_angle_beta 90.00
_cell_angle_gamma 90.00
_space_group_name_H-M_alt 'P 4/m b m'
_space_group_IT_number 127
_space_group_name_Hall '-P 4 2ab'
loop_
_atom_site_label
_atom_site_type_symbol
_atom_site_fract_x
_atom_site_fract_y
_atom_site_fract_z
_atom_site_occupancy
Mg1 Mg 0.175 0.325 0.000 1
Si1 Si 0.128 0.628 0.500 1
Au1 Au 0.000 0.000 0.500 1
```

=====

| no. | formation energy (no corrections) (eV/f.u.) | final energy (eV per atom) |
| --- | --- | --- |
| 1 | 1.1 | -2.48 |
| 2 | 3.6 | -2.66 |
| 3 | -0.4 | -3.89 |
| 4 | -1.2 | -3.61 |
| 5 | 0.2 | -3.33 |
| 6 | -0.6 | -3.64 |
| 7 | -0.6 | -3.16 |
| 8 | -0.7 | -3.60 |